No. 1
Crystalline CePm2Hg4 at its relaxed geometry, computed with PBE.

Calculated values
ρ = 9.65 Mg/m³
total DFT energy (no corrections) = -2.693 eV/atom
volume = 424.0 Å³/cell
energy above the lowest structure with this stoichiometry = 0.0 meV/atom
total moment = 0.9 μB/f.u.

a b c (Å): 7.793 10.357 5.253
angles (deg): 90.00 90.00 90.00
Space group Cmmm (No. 65)
Asymmetric unit:
1 Ce 0.000 0.000 0.000 [2 per cell]
2 Pm 0.000 0.282 0.500 [4 per cell]
3 Hg 0.217 0.000 0.500 [4 per cell]
4 Hg 0.250 0.250 0.000 [4 per cell]

No. 2
Crystalline CePm2Hg8 at its relaxed geometry, computed with PBE.

Calculated values
ρ = 11.63 Mg/m³
total DFT energy (no corrections) = -1.936 eV/atom
volume = 581.0 Å³/cell
energy above the lowest structure with this stoichiometry = 12.4 meV/atom
total moment = 1.1 μB/f.u.

a b c (Å): 5.240 7.353 15.079
angles (deg): 90.00 90.00 90.00
Space group Immm (No. 71)
Asymmetric unit:
1 Ce 0.000 0.000 0.000 [2 per cell]
2 Pm 0.000 0.000 0.311 [4 per cell]
3 Hg 0.000 0.211 0.500 [4 per cell]
4 Hg 0.000 0.286 0.151 [8 per cell]
5 Hg 0.000 0.500 0.343 [4 per cell]

No. 3
Crystalline Ce3PmHg6 at its relaxed geometry, computed with PBE.

Calculated values
ρ = 10.84 Mg/m³
total DFT energy (no corrections) = -2.759 eV/atom
volume = 541.8 Å³/cell
total moment = 1.4 μB/f.u.

a b c (Å): 9.617 5.193 11.238
angles (deg): 90.00 105.13 90.00
Space group P2_1/m (No. 11)
Asymmetric unit:
1 Ce 0.012 0.250 0.389 [2 per cell]
2 Ce 0.145 0.750 0.213 [2 per cell]
3 Ce 0.271 0.250 0.993 [2 per cell]
4 Pm 0.442 0.250 0.613 [2 per cell]
5 Hg 0.037 0.750 0.915 [2 per cell]
6 Hg 0.161 0.250 0.702 [2 per cell]
7 Hg 0.263 0.750 0.499 [2 per cell]
8 Hg 0.342 0.250 0.310 [2 per cell]
9 Hg 0.359 0.750 0.805 [2 per cell]
10 Hg 0.437 0.750 0.102 [2 per cell]

No. 4
Crystalline Ce2PmHg3 at its relaxed geometry, computed with PBE.

Calculated values
ρ = 10.17 Mg/m³
total DFT energy (no corrections) = -3.269 eV/atom
volume = 167.7 Å³/cell
total moment = 3.1 μB/f.u.

a b c (Å): 3.796 3.796 11.635
angles (deg): 90.00 90.00 90.00
Space group P4/mmm (No. 123)
Asymmetric unit:
1 Ce 0.000 0.000 0.167 [2 per cell]
2 Pm 0.000 0.000 0.500 [1 per cell]
3 Hg 0.500 0.500 0.000 [1 per cell]
4 Hg 0.500 0.500 0.337 [2 per cell]

No. 5
Crystalline Ce2PmHg5 at its relaxed geometry, computed with PBE.

Calculated values
ρ = 11.27 Mg/m³
total DFT energy (no corrections) = -2.615 eV/atom
volume = 420.8 Å³/cell
total moment = 2.2 μB/f.u.

a b c (Å): 5.165 5.165 15.777
angles (deg): 90.00 90.00 90.00
Space group I4/mmm (No. 139)
Asymmetric unit:
1 Ce 0.000 0.000 0.235 [4 per cell]
2 Pm 0.000 0.000 0.500 [2 per cell]
3 Hg 0.000 0.000 0.000 [2 per cell]
4 Hg 0.000 0.500 0.121 [8 per cell]

No. 6
Crystalline CePm2Hg6 at its relaxed geometry, computed with PBE.

Calculated values
ρ = 11.85 Mg/m³
total DFT energy (no corrections) = -2.320 eV/atom
volume = 228.9 Å³/cell
energy above the lowest structure with this stoichiometry = 0.0 meV/atom
total moment = 1.6 μB/f.u.

a b c (Å): 8.7683 8.7683 3.4372
angles (deg): 90.00 90.00 120.00
Space group P6/mmm (No. 191)
Asymmetric unit:
1 Ce 0.0000 0.0000 0.0000 [1 per cell]
2 Pm 0.3333 0.6667 0.0000 [2 per cell]
3 Hg 0.0000 0.3340 0.5000 [6 per cell]

No. 7
Crystalline CePmHgRh at its relaxed geometry, computed with PBE.

Calculated values
ρ = 9.94 Mg/m³
total DFT energy (no corrections) = -5.031 eV/atom
volume = 393.1 Å³/cell
energy above the lowest structure with this stoichiometry = 79.0 meV/atom
total moment = 0.8 μB/f.u.

a b c (Å): 7.326 7.326 7.326
angles (deg): 90.00 90.00 90.00
Space group F-43m (No. 216)
Asymmetric unit:
1 Ce 0.000 0.000 0.000 [4 per cell]
2 Pm 0.000 0.000 0.500 [4 per cell]
3 Hg 0.250 0.250 0.250 [4 per cell]
4 Rh 0.250 0.250 0.750 [4 per cell]

No. 8
Crystalline CePmHgRh at its relaxed geometry, computed with PBE.

Calculated values
ρ = 8.86 Mg/m³
total DFT energy (no corrections) = -5.110 eV/atom
volume = 331.0 Å³/cell
energy above the lowest structure with this stoichiometry = 0.0 meV/atom
total moment = 0.5 μB/f.u.

a b c (Å): 4.0380 4.0380 23.4375
angles (deg): 90.00 90.00 120.00
Space group R3m (No. 160, hexagonal axes)
Asymmetric unit:
1 Ce 0.0000 0.0000 0.0000 [3 per cell]
2 Pm 0.0000 0.0000 0.1974 [3 per cell]
3 Hg 0.0000 0.0000 0.4315 [3 per cell]
4 Rh 0.0000 0.0000 0.6037 [3 per cell]

Repeat the first record exactly.
Crystalline CePm2Hg4 at its relaxed geometry, computed with PBE.

Calculated values
ρ = 9.65 Mg/m³
total DFT energy (no corrections) = -2.693 eV/atom
volume = 424.0 Å³/cell
energy above the lowest structure with this stoichiometry = 0.0 meV/atom
total moment = 0.9 μB/f.u.

a b c (Å): 7.793 10.357 5.253
angles (deg): 90.00 90.00 90.00
Space group Cmmm (No. 65)
Asymmetric unit:
1 Ce 0.000 0.000 0.000 [2 per cell]
2 Pm 0.000 0.282 0.500 [4 per cell]
3 Hg 0.217 0.000 0.500 [4 per cell]
4 Hg 0.250 0.250 0.000 [4 per cell]

Question: The lowest total moment belongs to which entry?
Answer: number 8